Zn2Te after structural relaxation. Source: Alexandria via LeMat-Bulk, functional PBE.

## Properties
Uncorrected energy   -11.56 eV for the cell shown
Space-group type   Pnnm, No. 58
Uncorrected formation energy   -30 meV per atom
Crystal system   orthorhombic
Polymorph energy (0 for the lowest one)   0.090 eV/atom
M_tot   0.0 μB per formula unit

Cell lengths 4.2568, 5.5164, 6.7385 Å; angles 90.00, 90.00, 90.00 degrees
Closest atoms and distances in Å follow each position.
Fractional coordinates of all 6 atoms:
Zn1 0.0000 0.1809 0.6015  1 Zn 2.42
Zn2 0.0000 0.8191 0.3985  1 Zn 2.42
Zn3 0.5000 0.6809 0.8985  1 Zn 2.42
Zn4 0.5000 0.3191 0.1015  1 Zn 2.42
Te1 0.0000 0.0000 0.0000  6 Zn 2.85-2.86
Te2 0.5000 0.5000 0.5000  6 Zn 2.85-2.86

=====

AlCr2Ru after structural relaxation. Source: Alexandria via LeMat-Bulk, functional PBE.

## Properties
Uncorrected energy   -32.02 eV for the cell shown
Formation energy from the elements   62 meV per atom
Space-group type   P4/mmm, No. 123
Crystal system   tetragonal
M_tot   3.8 μB per formula unit

Cell lengths 4.2369, 4.2369, 2.9793 Å; angles 90.00, 90.00, 90.00 degrees
Closest atoms and distances in Å follow each position.
Fractional coordinates of all 4 atoms:
Ru1 0.5000 0.0000 0.5000  8 Cr 2.59
Al1 0.0000 0.5000 0.5000  8 Cr 2.59
Cr1 0.0000 0.0000 0.0000  4 Al 2.59, 4 Ru 2.59
Cr2 0.5000 0.5000 0.0000  4 Ru 2.59, 4 Al 2.59

=====

ZrMoAsS2 after structural relaxation. Source: Alexandria via LeMat-Bulk, functional PBE.

## Properties
Uncorrected energy   -31.73 eV for the cell shown
Space-group type   P4/mmm, No. 123
Uncorrected formation energy   111 meV per atom
Crystal system   tetragonal
M_tot   0.7 μB per formula unit

Cell lengths 4.5165, 5.2031, 4.5165 Å; angles 90.00, 90.00, 90.00 degrees
Closest atoms and distances in Å follow each position.
Fractional coordinates of all 5 atoms:
S1 0.0000 0.0000 0.5000  2 Mo 2.26
S2 0.5000 0.0000 0.0000  2 Mo 2.26
Mo1 0.0000 0.0000 0.0000  4 S 2.26
As1 0.0000 0.5000 0.0000  2 Mo 2.60
Zr1 0.5000 0.5000 0.5000  4 As 3.19, 8 S 3.44

=====

NdErTiN3 after structural relaxation. Source: Alexandria via LeMat-Bulk, functional PBE.

## Properties
Uncorrected energy   -100.33 eV for the cell shown
Space-group type   P2_1/m, No. 11
Uncorrected formation energy   -1327 meV per atom
Crystal system   monoclinic
M_tot   0.0 μB per formula unit

Cell lengths 3.5384, 7.2019, 7.7365 Å; angles 98.78, 90.00, 90.00 degrees
Closest atoms and distances in Å follow each position.
Fractional coordinates of all 12 atoms:
Nd1 0.7500 0.8276 0.8258  5 N 2.48-2.71
Nd2 0.2500 0.1724 0.1742  5 N 2.48-2.71
Er1 0.2500 0.6344 0.1530  3 N 2.24-2.39
Er2 0.7500 0.3656 0.8470  3 N 2.24-2.39
Ti1 0.2500 0.1047 0.5977  4 N 1.94-2.06
Ti2 0.7500 0.8953 0.4023  4 N 1.94-2.06
N1 0.2500 0.8264 0.4838  3 Ti 1.97-2.06
N2 0.7500 0.8839 0.1503  1 Ti 1.94
N3 0.7500 0.4087 0.1404  3 Er 2.24-2.39, 2 Nd 2.50
N4 0.7500 0.1736 0.5162  3 Ti 1.97-2.06
N5 0.2500 0.5913 0.8596  3 Er 2.24-2.39, 2 Nd 2.50
N6 0.2500 0.1161 0.8497  1 Ti 1.94

=====

PmPr2TmO6 after structural relaxation. Source: Alexandria via LeMat-Bulk, functional PBE.

## Properties
Uncorrected energy   -82.32 eV for the cell shown
Space-group type   R3, No. 146
Uncorrected formation energy   -3379 meV per atom
Crystal system   trigonal
M_tot   0.0 μB per formula unit

Cell lengths 6.0198, 6.0198, 6.2062 Å; angles 60.99, 60.99, 60.00 degrees
Closest atoms and distances in Å follow each position.
Fractional coordinates of all 10 atoms:
Pm1 0.8069 0.8069 0.5794  6 O 2.31-2.44
Pr1 0.5320 0.5320 0.4039  6 O 2.38-2.51
Pr2 0.0298 0.0298 0.9107  6 O 2.37-2.51
Tm1 0.3117 0.3117 0.0650  6 O 2.23-2.30
O1 0.6051 0.1955 0.2552  1 Tm 2.23, 1 Pr 2.38, 1 Pm 2.44
O2 0.1955 0.9441 0.2552  1 Tm 2.23, 1 Pr 2.38, 1 Pm 2.44
O3 0.9442 0.6051 0.2552  1 Tm 2.23, 1 Pr 2.38, 1 Pm 2.44
O4 0.4283 0.6865 0.7635  1 Tm 2.30, 1 Pm 2.31, 2 Pr 2.37-2.51
O5 0.6865 0.1216 0.7636  1 Tm 2.30, 1 Pm 2.31, 2 Pr 2.37-2.51
O6 0.1216 0.4284 0.7635  1 Tm 2.30, 1 Pm 2.31, 2 Pr 2.37-2.51

=====

PaPbI6 after structural relaxation. Source: Alexandria via LeMat-Bulk, functional PBE.

## Properties
Uncorrected energy   -57.87 eV for the cell shown
Space-group type   P-31c, No. 163
Uncorrected formation energy   -804 meV per atom
Crystal system   trigonal
Polymorph energy (0 for the lowest one)   0.003 eV/atom
M_tot   1.0 μB per formula unit

Cell lengths 7.7615, 7.7615, 14.2842 Å; angles 90.00, 90.00, 120.00 degrees
Closest atoms and distances in Å follow each position.
Fractional coordinates of all 16 atoms:
Pa1 0.0000 0.0000 0.5000  6 I 3.04
Pa2 0.0000 0.0000 0.0000  6 I 3.04
Pb1 0.3333 0.6667 0.2500  6 I 3.27
Pb2 0.6667 0.3333 0.7500  6 I 3.27
I1 0.3289 0.3165 0.3790  1 Pa 3.04, 1 Pb 3.27
I2 0.6711 0.6835 0.6210  1 Pa 3.04, 1 Pb 3.27
I3 0.9876 0.6711 0.3791  1 Pa 3.04, 1 Pb 3.27
I4 0.3289 0.0124 0.1209  1 Pa 3.04, 1 Pb 3.27
I5 0.0124 0.3289 0.6209  1 Pa 3.04, 1 Pb 3.27
I6 0.6711 0.9876 0.8791  1 Pa 3.04, 1 Pb 3.27
I7 0.6835 0.0124 0.3791  1 Pa 3.04, 1 Pb 3.27
I8 0.9876 0.3165 0.1210  1 Pa 3.04, 1 Pb 3.27
I9 0.3165 0.9876 0.6209  1 Pa 3.04, 1 Pb 3.27
I10 0.0124 0.6835 0.8790  1 Pa 3.04, 1 Pb 3.27
I11 0.6835 0.6711 0.1209  1 Pa 3.04, 1 Pb 3.27
I12 0.3165 0.3289 0.8791  1 Pa 3.04, 1 Pb 3.27

=====

Question: Among the records above, which one has the lowest uncorrected energy?
Answer: NdErTiN3